1.
{"formula": "Ca3Au2", "functional": "SCAN", "state": "single point on PBEsol structure", "lattice_angstrom": [[4.995, 0.000, 0.000], [-2.497, 4.326, 0.000], [0.000, 0.000, 6.229]], "species": ["Ca", "Ca", "Ca", "Au", "Au"], "fractional_positions": [[0.000, 0.000, 0.000], [0.333, 0.667, 0.334], [0.667, 0.333, 0.666], [0.333, 0.667, 0.830], [0.667, 0.333, 0.170]], "delta_e_f_mev_per_atom": -823, "spacegroup": "P-3m1"}

---

2.
{"formula": "AlPt2W", "functional": "SCAN", "state": "single point on PBEsol structure", "lattice_angstrom": [[2.810, 0.000, 0.000], [-1.405, 2.433, 0.000], [0.000, 0.000, 26.283]], "species": ["Al", "Al", "Al", "Pt", "Pt", "Pt", "Pt", "Pt", "Pt", "W", "W", "W"], "fractional_positions": [[0.000, 0.000, 0.000], [0.333, 0.667, 0.667], [0.667, 0.333, 0.333], [0.000, 0.000, 0.500], [0.000, 0.000, 0.743], [0.333, 0.667, 0.167], [0.333, 0.667, 0.410], [0.667, 0.333, 0.076], [0.667, 0.333, 0.833], [0.000, 0.000, 0.248], [0.333, 0.667, 0.915], [0.667, 0.333, 0.582]], "delta_e_f_mev_per_atom": -340, "spacegroup": "R3m"}

---

3.
{"formula": "TlIr2Au", "functional": "SCAN", "state": "single point on PBEsol structure", "lattice_angstrom": [[2.782, 0.000, 0.000], [0.000, 3.599, 0.000], [-1.259, 0.000, 7.234]], "species": ["Tl", "Ir", "Ir", "Au"], "fractional_positions": [[0.000, 0.000, 0.000], [0.050, 0.500, 0.699], [0.478, 0.000, 0.537], [0.872, 0.500, 0.296]], "delta_e_f_mev_per_atom": 391, "spacegroup": "Pm", "relative_energy_mev_per_atom": 0.0}

---

4.
{"formula": "BaLiMg2", "functional": "SCAN", "state": "single point on PBEsol structure", "lattice_angstrom": [[5.180, 0.000, 0.000], [-2.590, 4.486, 0.000], [0.000, 0.000, 16.160]], "species": ["Ba", "Ba", "Ba", "Li", "Li", "Li", "Mg", "Mg", "Mg", "Mg", "Mg", "Mg"], "fractional_positions": [[0.000, 0.000, 0.000], [0.333, 0.667, 0.667], [0.667, 0.333, 0.333], [0.000, 0.000, 0.209], [0.333, 0.667, 0.876], [0.667, 0.333, 0.542], [0.000, 0.000, 0.506], [0.000, 0.000, 0.788], [0.333, 0.667, 0.173], [0.333, 0.667, 0.455], [0.667, 0.333, 0.122], [0.667, 0.333, 0.840]], "delta_e_f_mev_per_atom": 12, "spacegroup": "R3m", "relative_energy_mev_per_atom": 6.7}

---

5.
{"formula": "MnAl5", "functional": "SCAN", "state": "single point on PBEsol structure", "lattice_angstrom": [[4.664, 0.000, 0.000], [-2.332, 4.039, 0.000], [0.000, 0.000, 4.497]], "species": ["Mn", "Al", "Al", "Al", "Al", "Al"], "fractional_positions": [[0.000, 0.000, 0.000], [0.000, 0.685, 0.500], [0.315, 0.315, 0.500], [0.333, 0.667, 0.000], [0.667, 0.333, 0.000], [0.685, 0.000, 0.500]], "delta_e_f_mev_per_atom": -116, "spacegroup": "P-62m"}

---

6.
{"formula": "ZnNiOs2", "functional": "SCAN", "state": "single point on PBEsol structure", "lattice_angstrom": [[2.732, 0.000, 0.000], [0.000, 4.385, 0.000], [0.000, 0.000, 4.434]], "species": ["Zn", "Ni", "Os", "Os"], "fractional_positions": [[0.000, 0.000, 0.000], [0.500, 0.000, 0.500], [0.000, 0.500, 0.500], [0.500, 0.500, 0.000]], "delta_e_f_mev_per_atom": 357, "spacegroup": "Pmmm"}

---

Number 1: spin magnetization 0.0 μB/cell. Number 2: spin magnetization 0.0 μB/cell. Number 3: spin magnetization 0.0 μB/cell. Number 4: spin magnetization 0.6 μB/cell. Number 5: spin magnetization 0.1 μB/cell. Number 6: spin magnetization 0.0 μB/cell.